No. 1
The following is a DFT calculation (GGA-PBE) of an optimized crystal structure of GaTcOs3.

Cell lengths 4.445, 4.445, 4.445 Å; angles 90.00, 90.00, 90.00 degrees
Last column: magnetic moment on the atom in μB.
Fractional coordinates of all 5 atoms:
Ga: 0.000 0.000 0.000  0.00
Tc: 0.500 0.500 0.500  2.15
Os: 0.500 0.000 0.000  -0.13
Os: 0.000 0.000 0.500  -0.08
Os: 0.000 0.500 0.000  -0.15

SG: Pm-3m
V, Å³ per cell: 87.8
E above lowest polymorph, eV per atom: 0.0000
Spin magnetization, μB/f.u.: 2.0

***

No. 2
The following is a DFT calculation (GGA-PBE) of an optimized crystal structure of ThGa3TcOs.

Cell lengths 5.944, 8.084, 6.591 Å; angles 127.83, 90.00, 90.00 degrees
Fractional coordinates of all 12 atoms:
Os: 0.750 0.031 0.062
Os: 0.250 0.969 0.938
Ga: 0.250 0.204 0.408
Ga: 0.000 0.747 0.000
Ga: 0.500 0.253 0.000
Ga: 0.750 0.796 0.592
Ga: 0.000 0.253 0.000
Ga: 0.500 0.747 0.000
Th: 0.750 0.284 0.567
Th: 0.250 0.716 0.433
Tc: 0.750 0.562 0.124
Tc: 0.250 0.438 0.876

SG: Cmcm
Total energy, eV/atom: -6.422
V, Å³ per cell: 250.2
Spin magnetization, μB/f.u.: 0.0

***

No. 3
The following is a DFT calculation (GGA-PBE) of an optimized crystal structure of TiGaTcOs.

Cell lengths 4.352, 4.352, 4.352 Å; angles 60.00, 60.00, 60.00 degrees
Fractional coordinates of all 4 atoms:
Ga: 0.750 0.750 0.750
Os: 0.500 0.500 0.500
Ti: 0.250 0.250 0.250
Tc: 0.000 0.000 0.000

SG: F-43m
V, Å³ per cell: 58.3
E above lowest polymorph, eV per atom: 0.0066
Spin magnetization, μB/f.u.: 0.0